# 1
Below is La5SnPt2 after structural relaxation, with properties calculated at the PBE-GGA level.

Lattice parameters (Å, degrees): 8.2477 8.2477 9.1071 116.92 116.92 90.00
Closest atoms and distances in Å follow each position.
Fractional coordinates of all 16 atoms:
Sn 0.7500 0.7500 0.5000  10 La 3.47-3.50
Sn 0.2500 0.2500 0.5000  10 La 3.47-3.50
La 0.0000 0.0000 0.0000  4 Pt 3.20, 2 Sn 3.50
La 0.7013 0.2013 0.7231  3 Pt 3.07-3.12
La 0.0218 0.5218 0.7231  3 Pt 3.07-3.12
La 0.9782 0.4782 0.2769  3 Pt 3.07-3.12
La 0.7987 0.9782 0.2769  3 Pt 3.07-3.12
La 0.5218 0.7013 0.7231  3 Pt 3.07-3.12
La 0.2013 0.0218 0.7231  3 Pt 3.07-3.12
La 0.2987 0.7987 0.2769  3 Pt 3.07-3.12
La 0.4782 0.2987 0.2769  3 Pt 3.07-3.12
La 0.5000 0.5000 0.0000  4 Pt 3.20, 2 Sn 3.50
Pt 0.6361 0.1361 0.0000  8 La 3.07-3.20, 1 Pt 3.18
Pt 0.1361 0.3639 0.0000  8 La 3.07-3.20, 1 Pt 3.18
Pt 0.8639 0.6361 0.0000  8 La 3.07-3.20, 1 Pt 3.18
Pt 0.3639 0.8639 0.0000  8 La 3.07-3.20, 1 Pt 3.18

- VASP energy: -5.9559 eV/atom
- SG: I4/mcm
- Mass density: 8.40 Mg/m³
- Calculated formation energy: -0.87 eV per atom


# 2
Below is SrAc2AgN after structural relaxation, with properties calculated at the PBE-GGA level.

Lattice parameters (Å, degrees): 5.3017 5.3016 5.3094 90.00 90.00 90.00
Closest atoms and distances in Å follow each position.
Fractional coordinates of all 5 atoms:
Ac 0.0000 0.5000 0.9997  2 N 2.65
Ac 0.5000 0.0000 0.0001  2 N 2.65
Ag 0.5000 0.5000 0.4999  4 Sr 3.75, 8 Ac 3.75
N 0.0000 0.0000 0.0004  4 Ac 2.65, 2 Sr 2.65-2.66
Sr 0.0000 0.0000 0.4999  2 N 2.65-2.66

- VASP energy: -4.6491 eV/atom
- SG: P4/mmm
- Mass density: 7.38 Mg/m³


# 3
Below is UTePd6 after structural relaxation, with properties calculated at the PBE-GGA level.

Lattice parameters (Å, degrees): 4.1369 4.1369 8.1888 90.00 90.00 90.00
Closest atoms and distances in Å follow each position.
Fractional coordinates of all 8 atoms:
U 0.0000 0.0000 0.5000  12 Pd 2.84-2.93
Pd 0.5000 0.0000 0.2629  8 Pd 2.84-2.99, 2 U 2.84, 2 Te 2.99
Pd 0.5000 0.0000 0.7371  2 U 2.84, 8 Pd 2.84-2.99, 2 Te 2.99
Pd 0.5000 0.5000 0.0000  4 Te 2.93, 8 Pd 2.99
Pd 0.0000 0.5000 0.2629  8 Pd 2.84-2.99, 2 U 2.84, 2 Te 2.99
Pd 0.0000 0.5000 0.7371  2 U 2.84, 8 Pd 2.84-2.99, 2 Te 2.99
Pd 0.5000 0.5000 0.5000  8 Pd 2.84, 4 U 2.93
Te 0.0000 0.0000 0.0000  12 Pd 2.93-2.99

- VASP energy: -6.0952 eV/atom
- SG: P4/mmm
- Mass density: 11.90 Mg/m³


# 4
Below is LiPrPuHg after structural relaxation, with properties calculated at the PBE-GGA level.

Lattice parameters (Å, degrees): 5.3597 5.3597 5.3597 60.00 60.00 60.00
Closest atoms and distances in Å follow each position.
Fractional coordinates of all 4 atoms:
Hg 0.7500 0.7500 0.7500  4 Pr 3.28, 4 Pu 3.28
Pu 0.0000 0.0000 0.0000  4 Li 3.28, 4 Hg 3.28
Pr 0.5000 0.5000 0.5000  4 Hg 3.28, 4 Li 3.28
Li 0.2500 0.2500 0.2500  4 Pr 3.28, 4 Pu 3.28

- VASP energy: -5.3200 eV/atom
- SG: F-43m
- Mass density: 9.04 Mg/m³
- Calculated formation energy: 0.01 eV per atom


# 5
Below is Cs3Tl2Au4 after structural relaxation, with properties calculated at the PBE-GGA level.

Lattice parameters (Å, degrees): 4.9282 7.1256 10.5568 97.20 90.00 110.23
Closest atoms and distances in Å follow each position.
Fractional coordinates of all 9 atoms:
Au 0.8868 0.7737 0.3185  2 Tl 2.94, 1 Au 3.12
Au 0.7368 0.4735 0.0648  3 Au 2.86-3.12, 3 Tl 2.99-3.01
Au 0.2632 0.5265 0.9352  3 Au 2.86-3.12, 3 Tl 2.99-3.01
Au 0.1132 0.2263 0.6815  2 Tl 2.94, 1 Au 3.12
Cs 0.0000 0.0000 0.0000  8 Au 3.67-4.00
Cs 0.3900 0.7800 0.6109  6 Au 3.86-4.02, 3 Tl 3.95-4.16, 1 Cs 4.00
Cs 0.6100 0.2200 0.3891  6 Au 3.86-4.02, 3 Tl 3.95-4.16, 1 Cs 4.00
Tl 0.2833 0.5665 0.2223  5 Au 2.94-3.01
Tl 0.7167 0.4335 0.7777  5 Au 2.94-3.01

- VASP energy: -2.4731 eV/atom
- SG: C2/m
- Mass density: 7.68 Mg/m³
- Calculated formation energy: -0.21 eV per atom


# 6
Below is MoIrRu after structural relaxation, with properties calculated at the PBE-GGA level.

Lattice parameters (Å, degrees): 4.3727 4.3717 5.4434 90.00 90.00 120.01
Closest atoms and distances in Å follow each position.
Fractional coordinates of all 6 atoms:
Ir 0.3331 0.1662 0.7500  5 Mo 2.52-2.72
Ir 0.6669 0.8338 0.2500  5 Mo 2.52-2.72
Ru 0.0000 0.5000 0.0000  2 Ru 2.72, 6 Ir 2.87, 6 Mo 2.87
Ru 0.0000 0.5000 0.5000  2 Ru 2.72, 6 Ir 2.87, 6 Mo 2.87
Mo 0.6667 0.8333 0.7500  5 Ir 2.52-2.72
Mo 0.3333 0.1667 0.2500  5 Ir 2.52-2.72

- VASP energy: -9.7120 eV/atom
- SG: P6_3/mmc
- Mass density: 14.35 Mg/m³
- Calculated formation energy: -0.06 eV per atom
- Energy above the lowest structure with this stoichiometry: 35 kJ/mol of formula units


# 7
Below is PmY2Ge after structural relaxation, with properties calculated at the PBE-GGA level.

Lattice parameters (Å, degrees): 3.8258 3.8258 9.9272 78.89 78.89 60.00
Closest atoms and distances in Å follow each position.
Fractional coordinates of all 4 atoms:
Y 0.0633 0.0633 0.8101  3 Ge 2.88
Y 0.2696 0.2696 0.1912  3 Ge 2.87
Ge 0.6662 0.6662 0.0015  6 Y 2.87-2.88
Pm 0.5010 0.5010 0.4971  6 Y 3.69-3.75, 6 Pm 3.83

- VASP energy: -5.8417 eV/atom
- SG: R3m
- Mass density: 5.35 Mg/m³
- Calculated formation energy: -0.27 eV per atom
- Energy above the lowest structure with this stoichiometry: 77 kJ/mol of formula units


# 8
Below is LuZr5 after structural relaxation, with properties calculated at the PBE-GGA level.

Lattice parameters (Å, degrees): 4.5531 4.5810 7.2608 108.39 90.00 90.00
Closest atoms and distances in Å follow each position.
Fractional coordinates of all 6 atoms:
Zr 0.5000 0.1688 0.3376  10 Zr 3.19-3.26, 2 Lu 3.25
Zr 0.0000 0.6687 0.3373  10 Zr 3.19-3.25, 2 Lu 3.26
Zr 0.0000 0.3313 0.6627  10 Zr 3.19-3.25, 2 Lu 3.26
Zr 0.5000 0.5000 0.0000  4 Lu 3.23, 8 Zr 3.25-3.26
Zr 0.5000 0.8312 0.6624  10 Zr 3.19-3.26, 2 Lu 3.25
Lu 0.0000 0.0000 0.0000  12 Zr 3.23-3.26

- VASP energy: -7.8131 eV/atom
- SG: Cmmm
- Mass density: 7.29 Mg/m³
- Calculated formation energy: 0.06 eV per atom